# CoSiPt2

Crystalline CoSiPt2 at its relaxed geometry (PBE, Alexandria).

abc: 8.285 8.285 8.285
angles: 19.70 19.70 19.70
Sites, in units of the cell vectors:
Pt: 0.505 0.505 0.505
Pt: 0.995 0.995 0.995
Si: 0.250 0.250 0.250
Co: 0.750 0.750 0.750

Computed properties:
Its space group is R-3m (166). The value obtained for the raw formation energy is -0.177 eV per atom. Its calculated total energy is -6.329 eV per atom.